{
  "formula": "YTl2Si2",
  "functional": "PBE-GGA",
  "state": "relaxed",
  "lattice": [[-1.1896, 4.0543, 0.4391], [-1.4587, -0.8501, 3.8981], [4.9519, 3.1526, 4.8553]],
  "species": ["Si", "Si", "Tl", "Tl", "Y"],
  "frac_coords": [[0.5814, 0.5814, 0.8371], [0.4186, 0.4186, 0.1629], [0.7500, 0.2500, 0.5000], [0.2500, 0.7500, 0.5000], [0.0000, 0.0000, 0.0000]],
  "relative_energy_mev_per_atom": 60,
  "space_group": "I4/mmm, No. 139",
  "raw_formation_energy_mev_per_atom": 93,
  "vol_a3_per_cell": 126.3,
  "magmom_total_mub_per_fu": 0.000
}


{
  "formula": "YTl2Si2",
  "functional": "PBE-GGA",
  "state": "relaxed",
  "lattice": [[3.4998, 0.0000, 0.0000], [0.0000, 3.4998, 0.0000], [1.7499, 1.7499, 9.7600]],
  "species": ["Y", "Si", "Tl", "Tl", "Si"],
  "frac_coords": [[0.0000, 0.0000, 0.0000], [0.7500, 0.2500, 0.5000], [0.6134, 0.6134, 0.7733], [0.3866, 0.3866, 0.2267], [0.2500, 0.7500, 0.5000]],
  "relative_energy_mev_per_atom": 150,
  "space_group": "I4/mmm, No. 139",
  "raw_formation_energy_mev_per_atom": 182,
  "vol_a3_per_cell": 119.5,
  "magmom_total_mub_per_fu": 0.278
}


{
  "formula": "YTlSi2",
  "functional": "PBE-GGA",
  "state": "relaxed",
  "lattice": [[3.5153, -0.0113, 0.0000], [0.0114, 3.5153, 0.0000], [0.0000, 0.0000, 6.8818]],
  "species": ["Si", "Y", "Tl", "Si"],
  "frac_coords": [[0.5000, 0.5000, 0.1987], [0.5000, 0.5000, 0.7891], [0.0000, 0.0000, 0.4638], [0.0000, 0.0000, 0.0484]],
  "relative_energy_mev_per_atom": 129,
  "space_group": "P4mm, No. 99",
  "raw_formation_energy_mev_per_atom": -16,
  "vol_a3_per_cell": 85.0,
  "magmom_total_mub_per_fu": 0.000
}


{
  "formula": "YTlSi2",
  "functional": "PBE-GGA",
  "state": "relaxed",
  "lattice": [[9.0850, -0.0436, -0.0258], [8.4230, 3.4048, -0.0258], [8.4230, 1.6170, 2.9964]],
  "species": ["Si", "Y", "Tl", "Si"],
  "frac_coords": [[0.0007, 0.0007, 0.0007], [0.7500, 0.7500, 0.7500], [0.2500, 0.2500, 0.2500], [0.4993, 0.4993, 0.4993]],
  "relative_energy_mev_per_atom": 390,
  "space_group": "R-3m, No. 166",
  "raw_formation_energy_mev_per_atom": 244,
  "vol_a3_per_cell": 94.6,
  "magmom_total_mub_per_fu": 0.000
}


{
  "formula": "Y4TlSi",
  "functional": "PBE-GGA",
  "state": "relaxed",
  "lattice": [[0.0000, 4.4090, 4.4090], [4.4090, 0.0000, 4.4090], [4.4090, 4.4090, 0.0000]],
  "species": ["Y", "Y", "Y", "Tl", "Si", "Y"],
  "frac_coords": [[0.3753, 0.8740, 0.3753], [0.3753, 0.3753, 0.8740], [0.8740, 0.3753, 0.3753], [0.0000, 0.0000, 0.0000], [0.7500, 0.7500, 0.7500], [0.3753, 0.3753, 0.3753]],
  "space_group": "F-43m, No. 216",
  "raw_formation_energy_mev_per_atom": 402,
  "vol_a3_per_cell": 171.4,
  "magmom_total_mub_per_fu": 0.000
}


{
  "formula": "Y2TlSi",
  "functional": "PBE-GGA",
  "state": "relaxed",
  "lattice": [[-3.9894, 0.4150, -3.6130], [0.2554, -4.8304, -2.3966], [-0.3448, 0.9506, 5.3027]],
  "species": ["Y", "Y", "Si", "Tl"],
  "frac_coords": [[0.0000, 0.0000, 0.0000], [0.5000, 0.5000, 0.0000], [0.2500, 0.7500, 0.5000], [0.7500, 0.2500, 0.5000]],
  "space_group": "I4/mmm, No. 139",
  "raw_formation_energy_mev_per_atom": -371,
  "vol_a3_per_cell": 98.0,
  "magmom_total_mub_per_fu": 0.000
}